# 1
Below is AlSeCl after structural relaxation, with properties calculated at the PBE-GGA level.

Calculated values
Formation energy without anion corrections   -1060.5 meV per atom
E   -4.085 eV per atom

abc: 3.6249 3.6249 6.9088
angles: 90.00 90.00 120.00
Element x y z (fractional)
Al: 0.0000 0.0000 0.0000
Se: 0.6667 0.3333 0.8187
Cl: 0.3333 0.6667 0.2271

# 2
Below is AlSe2Cl2 after structural relaxation, with properties calculated at the PBE-GGA level.

Calculated values
Formation energy without anion corrections   434.8 meV per atom
E above lowest polymorph   0.598 eV/atom
E   -2.446 eV per atom

abc: 8.9284 8.9284 2.9892
angles: 90.00 90.00 90.00
Element x y z (fractional)
Al: 0.0000 0.0000 0.0000
Al: 0.5000 0.5000 0.0000
Se: 0.2126 0.2874 0.5000
Se: 0.2874 0.7874 0.5000
Se: 0.7126 0.2126 0.5000
Se: 0.7874 0.7126 0.5000
Cl: 0.1235 0.6235 0.0000
Cl: 0.3765 0.1235 0.0000
Cl: 0.6235 0.8765 0.0000
Cl: 0.8765 0.3765 0.0000

# 3
Below is AlSe2Cl2 after structural relaxation, with properties calculated at the PBE-GGA level.

Calculated values
Formation energy without anion corrections   -162.7 meV per atom
E above lowest polymorph   0.000 eV/atom
E   -3.044 eV per atom

abc: 11.3785 11.3785 11.3785
angles: 161.84 161.84 25.80
Element x y z (fractional)
Al: 0.0000 0.0000 0.0000
Se: 0.2500 0.7500 0.5000
Se: 0.7500 0.2500 0.5000
Cl: 0.4329 0.4329 0.0000
Cl: 0.5671 0.5671 0.0000

# 4
Below is AlSeCl after structural relaxation, with properties calculated at the PBE-GGA level.

Calculated values
Formation energy without anion corrections   -481.4 meV per atom
E   -3.506 eV per atom

abc: 4.4892 4.4892 4.4892
angles: 60.00 60.00 60.00
Element x y z (fractional)
Al: 0.0000 0.0000 0.0000
Se: 0.7500 0.7500 0.7500
Cl: 0.2500 0.2500 0.2500